{
  "formula": "Mg2ZnTe",
  "functional": "meta-GGA SCAN",
  "state": "PBEsol geometry",
  "total_magnetization_mub_per_atom": 0.000,
  "n_ef_per_ev_cell": 1.17,
  "e_form_raw_kj_per_mol_fu": -91,
  "dft_energy_ev_per_atom": -15.413,
  "cell": [[3.998, -1.962, 0.000], [3.998, 1.962, 0.000], [-1.727, 0.000, 5.902]],
  "species": ["Mg", "Mg", "Zn", "Te"],
  "frac_coords": [[0.246, 0.246, 0.215], [0.754, 0.754, 0.785], [0.500, 0.500, 0.000], [0.000, 0.000, 0.500]]
}